Entry 1:
Sr2HfTl: relaxed, PBE.

Lattice parameters (Å, degrees): 5.615 5.615 5.615 60.00 60.00 60.00
Last column: magnetic moment on the atom in μB.
Sites, in units of the cell vectors:
Hf  0.250  0.250  0.250  0.21
Sr  0.000  0.000  0.000  0.01
Sr  0.750  0.750  0.750  0.02
Tl  0.500  0.500  0.500  0.00

Properties
**Calculated total energy**: -3.48 eV/atom
**Crystal system**: cubic

***

Entry 2:
SrHfTl: relaxed, PBE.

Lattice parameters (Å, degrees): 5.181 5.181 5.181 60.00 60.00 60.00
Sites, in units of the cell vectors:
Hf  0.250  0.250  0.250
Sr  0.750  0.750  0.750
Tl  0.000  0.000  0.000

Properties
**Distance to the lowest polymorph of the same formula**: 0.000 eV/atom
**Calculated total energy**: -4.11 eV/atom
**Crystal system**: cubic

***

Entry 3:
SrHfTl: relaxed, PBE.

Lattice parameters (Å, degrees): 5.271 5.271 5.271 60.00 60.00 60.00
Sites, in units of the cell vectors:
Hf  0.250  0.250  0.250
Sr  0.000  0.000  0.000
Tl  0.750  0.750  0.750

Properties
**Distance to the lowest polymorph of the same formula**: 0.588 eV/atom
**Calculated total energy**: -3.52 eV/atom
**Crystal system**: cubic